1.
AcHo4Er6 | PBE | relaxed

Unit cell a=5.6522 b=5.6522 c=25.4661 alpha=90.00 beta=90.00 gamma=119.51
Closest atoms and distances in Å follow each position.
Sites, in units of the cell vectors:
Ac: 0.1739 0.8261 0.7500  3 Er 3.26-3.27
Ac: 0.8261 0.1739 0.2500  3 Er 3.26-3.27
Ho: 0.1643 0.8357 0.0411  8 Er 3.43-3.61, 2 Ho 3.80-3.83
Ho: 0.1643 0.8357 0.4589  8 Er 3.43-3.61, 2 Ho 3.80-3.83
Ho: 0.4912 0.5088 0.1218  5 Er 3.10-3.32
Ho: 0.4912 0.5088 0.3782  5 Er 3.10-3.32
Ho: 0.5088 0.4912 0.6218  5 Er 3.10-3.32
Ho: 0.5088 0.4912 0.8782  5 Er 3.10-3.32
Ho: 0.8357 0.1643 0.5411  8 Er 3.43-3.61, 2 Ho 3.80-3.83
Ho: 0.8357 0.1643 0.9589  8 Er 3.43-3.61, 2 Ho 3.80-3.83
Er: 0.1588 0.8412 0.1791  4 Ho 3.51-3.59, 7 Er 3.61-3.86, 3 Ac 3.72-3.75
Er: 0.1588 0.8412 0.3209  4 Ho 3.51-3.59, 7 Er 3.61-3.86, 3 Ac 3.72-3.75
Er: 0.1735 0.8265 0.5992  7 Ho 3.32-3.61
Er: 0.1735 0.8265 0.9008  7 Ho 3.32-3.61
Er: 0.4918 0.5082 0.2500  3 Ac 3.26-3.27, 2 Ho 3.27
Er: 0.5000 0.5000 0.0000  8 Ho 3.10-3.44
Er: 0.5000 0.5000 0.5000  8 Ho 3.10-3.44
Er: 0.5082 0.4918 0.7500  3 Ac 3.26-3.27, 2 Ho 3.27
Er: 0.8265 0.1735 0.0992  7 Ho 3.32-3.61
Er: 0.8265 0.1735 0.4008  7 Ho 3.32-3.61
Er: 0.8412 0.1588 0.6791  4 Ho 3.51-3.59, 7 Er 3.61-3.86, 3 Ac 3.72-3.75
Er: 0.8412 0.1588 0.8209  4 Ho 3.51-3.59, 7 Er 3.61-3.86, 3 Ac 3.72-3.75

**Final energy**: -4.386 eV/atom
**Relative energy among the computed polymorphs**: 0.0 meV/atom
**Formation energy**: 0.141 eV/atom
**Size of the total moment**: 0.00 μB/f.u.

---

2.
AcHo2Er | PBE | relaxed

Unit cell a=11.7964 b=11.7964 c=11.7964 alpha=17.95 beta=17.95 gamma=17.95
Closest atoms and distances in Å follow each position.
Sites, in units of the cell vectors:
Ac: 0.0000 0.0000 0.0000  6 Ac 3.68, 6 Ho 3.69-3.72
Ho: 0.4201 0.4201 0.4201  3 Er 3.48, 6 Ho 3.68, 3 Ac 3.69
Ho: 0.5791 0.5791 0.5791  3 Er 3.50, 6 Ho 3.68, 3 Ac 3.72
Er: 0.1660 0.1660 0.1660  6 Ho 3.48-3.50, 6 Er 3.68

**Final energy**: -4.409 eV/atom
**Relative energy among the computed polymorphs**: 0.0 meV/atom
**Formation energy**: 0.048 eV/atom
**Size of the total moment**: 0.00 μB/f.u.

---

3.
AcHo12Er3 | PBE | relaxed

Unit cell a=5.0171 b=5.0171 c=20.0845 alpha=90.00 beta=90.00 gamma=90.00
Closest atoms and distances in Å follow each position.
Sites, in units of the cell vectors:
Ac: 0.0000 0.0000 0.0000  12 Ho 3.55-3.65
Ho: 0.0000 0.5000 0.1318  2 Er 3.50, 8 Ho 3.52-3.65, 2 Ac 3.65
Ho: 0.0000 0.5000 0.3772  8 Ho 3.51-3.55, 4 Er 3.52-3.53
Ho: 0.0000 0.5000 0.6228  8 Ho 3.51-3.55, 4 Er 3.52-3.53
Ho: 0.0000 0.5000 0.8682  2 Er 3.50, 8 Ho 3.52-3.65, 2 Ac 3.65
Ho: 0.5000 0.0000 0.1318  2 Er 3.50, 8 Ho 3.52-3.65, 2 Ac 3.65
Ho: 0.5000 0.0000 0.3772  8 Ho 3.51-3.55, 4 Er 3.52-3.53
Ho: 0.5000 0.0000 0.6228  8 Ho 3.51-3.55, 4 Er 3.52-3.53
Ho: 0.5000 0.0000 0.8682  2 Er 3.50, 8 Ho 3.52-3.65, 2 Ac 3.65
Ho: 0.5000 0.5000 0.0000  4 Ac 3.55, 8 Ho 3.65
Ho: 0.5000 0.5000 0.2550  8 Ho 3.51-3.52, 4 Er 3.55
Ho: 0.5000 0.5000 0.5000  8 Ho 3.52, 4 Er 3.55
Ho: 0.5000 0.5000 0.7450  8 Ho 3.51-3.52, 4 Er 3.55
Er: 0.0000 0.0000 0.2536  12 Ho 3.50-3.55
Er: 0.0000 0.0000 0.5000  12 Ho 3.52-3.55
Er: 0.0000 0.0000 0.7464  12 Ho 3.50-3.55

**Final energy**: -4.511 eV/atom
**Formation energy**: 0.035 eV/atom
**Size of the total moment**: 0.00 μB/f.u.

---

4.
AcHo5Er4 | PBE | relaxed

Unit cell a=8.7650 b=8.7650 c=10.9410 alpha=90.54 beta=90.54 gamma=23.49
Closest atoms and distances in Å follow each position.
Sites, in units of the cell vectors:
Ac: 0.0000 0.0000 0.0000  6 Er 3.37-3.75, 2 Ac 3.57, 4 Ho 3.58
Ho: 0.0000 0.0000 0.5000  4 Er 3.22, 6 Ho 3.51-3.57
Ho: 0.3232 0.3232 0.0588  4 Ho 3.33-3.57, 2 Er 3.37-3.64, 2 Ac 3.58
Ho: 0.3266 0.3266 0.4512  1 Er 3.31, 6 Ho 3.36-3.57
Ho: 0.6734 0.6734 0.5488  1 Er 3.31, 6 Ho 3.36-3.57
Ho: 0.6768 0.6768 0.9412  4 Ho 3.33-3.57, 2 Er 3.37-3.64, 2 Ac 3.58
Er: 0.1511 0.1511 0.2502  4 Er 3.53-3.57, 7 Ho 3.64-3.85, 1 Ac 3.75
Er: 0.4739 0.4739 0.2582  4 Ho 3.22-3.37, 2 Ac 3.37, 4 Er 3.53-3.57
Er: 0.5261 0.5261 0.7418  4 Ho 3.22-3.37, 2 Ac 3.37, 4 Er 3.53-3.57
Er: 0.8489 0.8489 0.7498  4 Er 3.53-3.57, 7 Ho 3.64-3.85, 1 Ac 3.75

**Final energy**: -4.306 eV/atom
**Formation energy**: 0.219 eV/atom
**Size of the total moment**: 0.00 μB/f.u.

---

5.
AcHo7Er4 | PBE | relaxed

Unit cell a=6.7975 b=6.7975 c=12.4549 alpha=115.58 beta=115.58 gamma=52.39
Closest atoms and distances in Å follow each position.
Sites, in units of the cell vectors:
Ac: 0.0000 0.0000 0.0000  4 Ho 3.00-3.25
Ho: 0.0485 0.0485 0.3519  4 Ho 3.36-3.48, 4 Er 3.56-3.72
Ho: 0.2160 0.2160 0.9186  2 Ho 3.11-3.36, 4 Er 3.21-3.40, 1 Ac 3.25
Ho: 0.3627 0.3627 0.4875  4 Ho 3.21-3.48, 5 Er 3.24-3.59
Ho: 0.5000 0.5000 0.0000  2 Ac 3.00, 2 Ho 3.11
Ho: 0.6373 0.6373 0.5125  4 Ho 3.21-3.48, 5 Er 3.24-3.59
Ho: 0.7840 0.7840 0.0814  2 Ho 3.11-3.36, 4 Er 3.21-3.40, 1 Ac 3.25
Ho: 0.9515 0.9515 0.6481  4 Ho 3.36-3.48, 4 Er 3.56-3.72
Er: 0.2649 0.2649 0.6876  3 Ho 3.21-3.55
Er: 0.3778 0.3778 0.2250  7 Ho 3.35-3.56
Er: 0.6222 0.6222 0.7750  7 Ho 3.35-3.56
Er: 0.7351 0.7351 0.3124  3 Ho 3.21-3.55

**Final energy**: -4.212 eV/atom
**Relative energy among the computed polymorphs**: 307.2 meV/atom
**Formation energy**: 0.321 eV/atom
**Size of the total moment**: 0.00 μB/f.u.

---

6.
AcHo6Er5 | PBE | relaxed

Unit cell a=7.9554 b=7.9554 c=10.0678 alpha=90.00 beta=90.00 gamma=143.29
Closest atoms and distances in Å follow each position.
Sites, in units of the cell vectors:
Ac: 0.0000 0.0000 0.0000  4 Er 3.60, 8 Ho 3.61
Ho: 0.1681 0.8319 0.2546  7 Er 3.50-3.58, 4 Ho 3.52-3.57, 1 Ac 3.61
Ho: 0.1681 0.8319 0.7454  7 Er 3.50-3.58, 4 Ho 3.52-3.57, 1 Ac 3.61
Ho: 0.5000 0.5000 0.2587  6 Er 3.49-3.67, 4 Ho 3.57, 2 Ac 3.61
Ho: 0.5000 0.5000 0.7413  6 Er 3.49-3.67, 4 Ho 3.57, 2 Ac 3.61
Ho: 0.8319 0.1681 0.2546  7 Er 3.50-3.58, 4 Ho 3.52-3.57, 1 Ac 3.61
Ho: 0.8319 0.1681 0.7454  7 Er 3.50-3.58, 4 Ho 3.52-3.57, 1 Ac 3.61
Er: 0.0000 0.0000 0.5000  8 Ho 3.49-3.54, 4 Er 3.56
Er: 0.3287 0.6713 0.0000  2 Er 3.45, 8 Ho 3.53-3.67, 2 Ac 3.60
Er: 0.3326 0.6674 0.5000  8 Ho 3.50-3.52, 4 Er 3.54-3.56
Er: 0.6674 0.3326 0.5000  8 Ho 3.50-3.52, 4 Er 3.54-3.56
Er: 0.6713 0.3287 0.0000  2 Er 3.45, 8 Ho 3.53-3.67, 2 Ac 3.60

**Final energy**: -4.493 eV/atom
**Formation energy**: 0.039 eV/atom
**Size of the total moment**: 0.00 μB/f.u.